First-principles (GGA-PBE) data for SrLi after structural relaxation, as listed in Alexandria.

Values from the calculation:
space-group type	P-3m1 (164)
energy of formation from the pure elements	0.13	eV per atom
calculated total energy	-1.6666	eV per atom
total moment	0.000	μB per atom
relative energy among the computed polymorphs	104	meV per atom
density of states at the Fermi level	3.05	states/eV/cell

a b c (Å): 4.057 4.057 11.103
angles (deg): 90.00 90.00 120.00
Sites, in units of the cell vectors:
Li1 0.000 0.000 0.040
Li2 0.667 0.333 0.210
Sr1 0.000 0.000 0.465
Sr2 0.667 0.333 0.785